DFT (PBE) results for a geometry-optimized VNiPt5 structure.

Cell lengths 6.166, 6.166, 6.715 Å; angles 110.48, 110.48, 90.78 degrees
Positions (direct):
V1 0.210 0.790 0.750
V2 0.790 0.210 0.250
Ni1 0.000 0.500 0.000
Ni2 0.500 0.000 0.500
Pt1 0.066 0.934 0.250
Pt2 0.159 0.346 0.635
Pt3 0.304 0.587 0.412
Pt4 0.346 0.159 0.135
Pt5 0.413 0.696 0.088
Pt6 0.587 0.304 0.912
Pt7 0.654 0.841 0.865
Pt8 0.696 0.413 0.588
Pt9 0.841 0.654 0.365
Pt10 0.934 0.066 0.750

Summary:
Magnetization, μB/atom: 0.000
E_tot, eV/atom: -6.52
Space-group type: C2/c
Calculated density, g cm⁻³: 16.28